i) Below is a relaxed structure of NaLa2Pt2, with properties calculated at the PBE level. Values from VASP.

Results
As for the space group: P4/mbm, No. 127. For the density, the calculation gives 8.8 g cm⁻³. The density of states at the Fermi level comes out at 2.99 states/eV/f.u. As for the crystal system: tetragonal.

Structure (Quantum ESPRESSO input):
```
&SYSTEM
  ibrav = 0, nat = 10, ntyp = 3
/
ATOMIC_SPECIES
Na 22.99 Na.upf
La 138.91 La.upf
Pt 195.08 Pt.upf
CELL_PARAMETERS angstrom
8.5501 0.0000 0.0000
0.0000 8.5501 0.0000
0.0000 0.0000 3.5663
ATOMIC_POSITIONS crystal
Na 0.0000 0.0000 0.0000
Na 0.5000 0.5000 0.0000
La 0.1477 0.3523 0.0000
La 0.3523 0.8523 0.0000
La 0.6477 0.1477 0.0000
La 0.8523 0.6477 0.0000
Pt 0.1454 0.6454 0.5000
Pt 0.3546 0.1454 0.5000
Pt 0.6454 0.8546 0.5000
Pt 0.8546 0.3546 0.5000
```


ii) Below is a relaxed structure of NaLa2Pt2, with properties calculated at the PBE level. Values from VASP.

Results
As for the space group: P4/mbm, No. 127. For the density, the calculation gives 8.9 g cm⁻³. The density of states at the Fermi level comes out at 3.93 states/eV/f.u. As for the crystal system: tetragonal.

Structure (Quantum ESPRESSO input):
```
&SYSTEM
  ibrav = 0, nat = 10, ntyp = 3
/
ATOMIC_SPECIES
Na 22.99 Na.upf
La 138.91 La.upf
Pt 195.08 Pt.upf
CELL_PARAMETERS angstrom
8.1685 0.0000 0.0000
0.0000 8.1685 0.0000
0.0000 0.0000 3.8837
ATOMIC_POSITIONS crystal
Na 0.0000 0.0000 0.0000
Na 0.5000 0.5000 0.0000
La 0.1603 0.3397 0.5000
La 0.3397 0.8397 0.5000
La 0.6603 0.1603 0.5000
La 0.8397 0.6603 0.5000
Pt 0.1344 0.6344 0.0000
Pt 0.3656 0.1344 0.0000
Pt 0.6344 0.8656 0.0000
Pt 0.8656 0.3656 0.0000
```


iii) Below is a relaxed structure of NaLa2Pt2, with properties calculated at the PBE level. Values from VASP.

Results
As for the space group: I4/mmm, No. 139. For the density, the calculation gives 8.1 g cm⁻³. The density of states at the Fermi level comes out at 5.99 states/eV/f.u. As for the crystal system: tetragonal.

Structure (Quantum ESPRESSO input):
```
&SYSTEM
  ibrav = 0, nat = 5, ntyp = 3
/
ATOMIC_SPECIES
Na 22.99 Na.upf
La 138.91 La.upf
Pt 195.08 Pt.upf
CELL_PARAMETERS angstrom
-2.7851 2.7851 4.5531
2.7851 -2.7851 4.5531
2.7851 2.7851 -4.5531
ATOMIC_POSITIONS crystal
Na 0.0000 0.0000 0.0000
La 0.2500 0.7500 0.5000
La 0.7500 0.2500 0.5000
Pt 0.3531 0.3531 0.0000
Pt 0.6469 0.6469 0.0000
```


ii) is favored, and the nearest alternative lies 0.164 eV/atom above it.


i) Below is a relaxed structure of NaLaPt3, with properties calculated at the PBE level. Values from VASP.

Results
As for the space group: Pm-3m, No. 221. For the density, the calculation gives 7.9 g cm⁻³. The density of states at the Fermi level comes out at 11.22 states/eV/f.u. As for the crystal system: cubic.

Structure (Quantum ESPRESSO input):
```
&SYSTEM
  ibrav = 0, nat = 5, ntyp = 3
/
ATOMIC_SPECIES
Na 22.99 Na.upf
La 138.91 La.upf
Pt 195.08 Pt.upf
CELL_PARAMETERS angstrom
5.3903 0.0000 0.0000
0.0000 5.3903 0.0000
0.0000 0.0000 5.3903
ATOMIC_POSITIONS crystal
Na 0.0000 0.0000 0.0000
La 0.5000 0.5000 0.5000
Pt 0.0000 0.5000 0.5000
Pt 0.5000 0.0000 0.5000
Pt 0.5000 0.5000 0.0000
```


ii) Below is a relaxed structure of NaLaPt3, with properties calculated at the PBE level. Values from VASP.

Results
As for the space group: Pm-3m, No. 221. For the density, the calculation gives 11.6 g cm⁻³. The density of states at the Fermi level comes out at 2.93 states/eV/f.u. As for the crystal system: cubic.

Structure (Quantum ESPRESSO input):
```
&SYSTEM
  ibrav = 0, nat = 5, ntyp = 3
/
ATOMIC_SPECIES
Na 22.99 Na.upf
La 138.91 La.upf
Pt 195.08 Pt.upf
CELL_PARAMETERS angstrom
4.7523 0.0000 0.0000
0.0000 4.7523 0.0000
0.0000 0.0000 4.7523
ATOMIC_POSITIONS crystal
Na 0.0000 0.0000 0.0000
La 0.5000 0.5000 0.5000
Pt 0.0000 0.0000 0.5000
Pt 0.0000 0.5000 0.0000
Pt 0.5000 0.0000 0.0000
```


ii) is favored, and the nearest alternative lies 0.312 eV/atom above it.


i) Below is a relaxed structure of NaSrLa2Pt, with properties calculated at the PBE level. Values from VASP.

Results
As for the space group: P4/mmm, No. 123. For the density, the calculation gives 4.8 g cm⁻³. The density of states at the Fermi level comes out at 5.73 states/eV/f.u. As for the crystal system: tetragonal.

Structure (Quantum ESPRESSO input):
```
&SYSTEM
  ibrav = 0, nat = 5, ntyp = 4
/
ATOMIC_SPECIES
Na 22.99 Na.upf
Sr 87.62 Sr.upf
La 138.91 La.upf
Pt 195.08 Pt.upf
CELL_PARAMETERS angstrom
5.7051 0.0000 0.0000
0.0000 5.7051 0.0000
0.0000 0.0000 6.2302
ATOMIC_POSITIONS crystal
Na 0.0000 0.0000 0.0000
Sr 0.5000 0.5000 0.0000
La 0.0000 0.5000 0.5000
La 0.5000 0.0000 0.5000
Pt 0.5000 0.5000 0.5000
```


ii) Below is a relaxed structure of NaSrLa2Pt, with properties calculated at the PBE level. Values from VASP.

Results
As for the space group: P4/mmm, No. 123. For the density, the calculation gives 5.0 g cm⁻³. The density of states at the Fermi level comes out at 4.82 states/eV/f.u. As for the crystal system: tetragonal.

Structure (Quantum ESPRESSO input):
```
&SYSTEM
  ibrav = 0, nat = 5, ntyp = 4
/
ATOMIC_SPECIES
Na 22.99 Na.upf
Sr 87.62 Sr.upf
La 138.91 La.upf
Pt 195.08 Pt.upf
CELL_PARAMETERS angstrom
5.6802 0.0000 0.0000
0.0000 5.6802 0.0000
0.0000 0.0000 5.9638
ATOMIC_POSITIONS crystal
Na 0.0000 0.0000 0.0000
Sr 0.5000 0.5000 0.0000
La 0.0000 0.5000 0.5000
La 0.5000 0.0000 0.5000
Pt 0.0000 0.0000 0.5000
```


i) is favored, and the nearest alternative lies 0.082 eV/atom above it.


i) Below is a relaxed structure of RbNaLa3, with properties calculated at the PBE level. Values from VASP.

Results
As for the space group: Pm-3m, No. 221. For the density, the calculation gives 4.1 g cm⁻³. The density of states at the Fermi level comes out at 8.44 states/eV/f.u. As for the crystal system: cubic.

Structure (Quantum ESPRESSO input):
```
&SYSTEM
  ibrav = 0, nat = 5, ntyp = 3
/
ATOMIC_SPECIES
Rb 85.47 Rb.upf
Na 22.99 Na.upf
La 138.91 La.upf
CELL_PARAMETERS angstrom
5.9584 0.0000 0.0000
0.0000 5.9584 0.0000
0.0000 0.0000 5.9584
ATOMIC_POSITIONS crystal
Rb 0.0000 0.0000 0.0000
Na 0.5000 0.5000 0.5000
La 0.0000 0.0000 0.5000
La 0.0000 0.5000 0.0000
La 0.5000 0.0000 0.0000
```


ii) Below is a relaxed structure of RbNaLa3, with properties calculated at the PBE level. Values from VASP.

Results
As for the space group: Pm-3m, No. 221. For the density, the calculation gives 3.7 g cm⁻³. The density of states at the Fermi level comes out at 9.73 states/eV/f.u. As for the crystal system: cubic.

Structure (Quantum ESPRESSO input):
```
&SYSTEM
  ibrav = 0, nat = 5, ntyp = 3
/
ATOMIC_SPECIES
Rb 85.47 Rb.upf
Na 22.99 Na.upf
La 138.91 La.upf
CELL_PARAMETERS angstrom
6.1623 0.0000 0.0000
0.0000 6.1623 0.0000
0.0000 0.0000 6.1623
ATOMIC_POSITIONS crystal
Rb 0.0000 0.0000 0.0000
Na 0.5000 0.5000 0.5000
La 0.0000 0.5000 0.5000
La 0.5000 0.0000 0.5000
La 0.5000 0.5000 0.0000
```


ii) is favored, and the nearest alternative lies 0.251 eV/atom above it.


i) Below is a relaxed structure of RbNaLa2Ru, with properties calculated at the PBE level. Values from VASP.

Results
As for the space group: P4/mmm, No. 123. For the density, the calculation gives 3.9 g cm⁻³. The density of states at the Fermi level comes out at 2.98 states/eV/f.u. As for the crystal system: tetragonal.

Structure (Quantum ESPRESSO input):
```
&SYSTEM
  ibrav = 0, nat = 5, ntyp = 4
/
ATOMIC_SPECIES
Rb 85.47 Rb.upf
Na 22.99 Na.upf
La 138.91 La.upf
Ru 101.07 Ru.upf
CELL_PARAMETERS angstrom
5.3822 0.0000 0.0000
0.0000 5.3822 0.0000
0.0000 0.0000 7.0825
ATOMIC_POSITIONS crystal
Rb 0.0000 0.0000 0.0000
Na 0.5000 0.5000 0.0000
La 0.0000 0.5000 0.5000
La 0.5000 0.0000 0.5000
Ru 0.0000 0.0000 0.5000
```


ii) Below is a relaxed structure of RbNaLa2Ru, with properties calculated at the PBE level. Values from VASP.

Results
As for the space group: P4/mmm, No. 123. For the density, the calculation gives 4.1 g cm⁻³. The density of states at the Fermi level comes out at 3.22 states/eV/f.u. As for the crystal system: tetragonal.

Structure (Quantum ESPRESSO input):
```
&SYSTEM
  ibrav = 0, nat = 5, ntyp = 4
/
ATOMIC_SPECIES
Rb 85.47 Rb.upf
Na 22.99 Na.upf
La 138.91 La.upf
Ru 101.07 Ru.upf
CELL_PARAMETERS angstrom
5.4133 0.0000 0.0000
0.0000 5.4133 0.0000
0.0000 0.0000 6.6565
ATOMIC_POSITIONS crystal
Rb 0.0000 0.0000 0.0000
Na 0.5000 0.5000 0.0000
La 0.0000 0.5000 0.5000
La 0.5000 0.0000 0.5000
Ru 0.5000 0.5000 0.5000
```


ii) is favored, and the nearest alternative lies 0.054 eV/atom above it.